# GGA-PBE FeSnSb2, optimized geometry
# formation energy (no corrections)	0.104	eV per atom
data_FeSnSb2
_cell_length_a 3.4310
_cell_length_b 8.4828
_cell_length_c 6.1957
_cell_angle_alpha 90.00
_cell_angle_beta 90.00
_cell_angle_gamma 90.00
_space_group_name_H-M_alt 'P m m n'
_space_group_IT_number 59
loop_
_space_group_symop_operation_xyz
'x,y,z'
'-x,-y,-z'
'-x+1/2,-y+1/2,z'
'x+1/2,y+1/2,-z'
'x+1/2,-y,-z'
'-x+1/2,y,z'
'-x,y+1/2,-z'
'x,-y+1/2,z'
loop_
_atom_site_label
_atom_site_fract_x
_atom_site_fract_y
_atom_site_fract_z
Fe1 0.2500 0.2500 0.0328
Sn1 0.2500 0.7500 0.6307
Sb1 0.2500 0.5629 0.1990

=====

# GGA-PBE FeSn2Sb4, optimized geometry
# formation energy (no corrections)	0.299	eV per atom
data_FeSn2Sb4
_cell_length_a 4.7505
_cell_length_b 4.7505
_cell_length_c 17.0975
_cell_angle_alpha 90.00
_cell_angle_beta 90.00
_cell_angle_gamma 90.00
_space_group_name_H-M_alt 'I 4/m m m'
_space_group_IT_number 139
_space_group_name_Hall '-I 4 2'
loop_
_atom_site_label
_atom_site_fract_x
_atom_site_fract_y
_atom_site_fract_z
Fe1 0.0000 0.0000 0.0000
Sn1 0.0000 0.0000 0.3376
Sb1 0.0000 0.0000 0.1586
Sb2 0.0000 0.5000 0.0000

=====

# GGA-PBE Fe2SnSb2, optimized geometry
# energy above the lowest structure with this stoichiometry	0.3089	eV per atom
# formation energy (no corrections)	0.368	eV per atom
data_Fe2SnSb2
_cell_length_a 4.3529
_cell_length_b 4.3529
_cell_length_c 10.7555
_cell_angle_alpha 90.00
_cell_angle_beta 90.00
_cell_angle_gamma 90.00
_space_group_name_H-M_alt 'I 4/m m m'
_space_group_IT_number 139
_space_group_name_Hall '-I 4 2'
loop_
_atom_site_label
_atom_site_fract_x
_atom_site_fract_y
_atom_site_fract_z
Fe1 0.0000 0.5000 0.2500
Sn1 0.0000 0.0000 0.0000
Sb1 0.0000 0.0000 0.3630

=====

# GGA-PBE FeSnSb2, optimized geometry
# formation energy (no corrections)	0.556	eV per atom
data_FeSnSb2
_cell_length_a 3.2216
_cell_length_b 3.2216
_cell_length_c 33.5636
_cell_angle_alpha 90.00
_cell_angle_beta 90.00
_cell_angle_gamma 120.00
_space_group_name_H-M_alt 'R -3 m'
_space_group_IT_number 166
_space_group_name_Hall '-R 3 2"'
loop_
_atom_site_label
_atom_site_fract_x
_atom_site_fract_y
_atom_site_fract_z
Fe1 0.0000 0.0000 0.0000
Sn1 0.0000 0.0000 0.5000
Sb1 0.0000 0.0000 0.0784